# LiWAu, relaxed, DFT PBE-GGA
data_LiWAu
_chemical_formula_sum 'Li2 W2 Au2'
_symmetry_space_group_name_H-M 'I m m 2'
_symmetry_Int_Tables_number 44
_cell_length_a 2.680
_cell_length_b 4.187
_cell_length_c 8.322
_cell_angle_alpha 90.00
_cell_angle_beta 90.00
_cell_angle_gamma 90.00
loop_
_symmetry_equiv_pos_as_xyz
'x,y,z'
'-x,-y,z'
'-x,y,z'
'x,-y,z'
'x+1/2,y+1/2,z+1/2'
'-x+1/2,-y+1/2,z+1/2'
'-x+1/2,y+1/2,z+1/2'
'x+1/2,-y+1/2,z+1/2'
loop_
_atom_site_label
_atom_site_type_symbol
_atom_site_fract_x
_atom_site_fract_y
_atom_site_fract_z
_atom_site_occupancy
Li1 Li 0.000 0.000 0.000 1
W1 W 0.000 0.000 0.671 1
Au1 Au 0.000 0.000 0.340 1
# Calculated total energy, eV/atom: -5.583
# Total magnetization, μB per formula unit: 0.00
# Energy relative to the elements, eV/atom: 0.465
# Fermi-level density of states, states/eV/cell: 5.87